Record 1
The following is a DFT calculation (GGA-PBE) of a relaxed CsTl2AuBr8 crystal.

Calculated values
**Total magnetic moment**: 0.0 μB per formula unit
**Formation energy from raw total energies**: -0.5894 eV/atom
**Symmetry**: R32, No. 155
**Electronic total energy**: -2.443 eV/atom

Cell: 7.0347 7.0347 11.5725 Å, 72.31 72.31 60.00°
Fractional positions:
Br 0.3291 0.3291 0.0127
Br 0.2358 0.8587 0.3259
Br 0.4203 0.1413 0.6741
Br 0.1413 0.7642 0.6741
Br 0.8587 0.5797 0.3259
Br 0.5797 0.2358 0.3259
Br 0.6709 0.6709 0.9873
Br 0.7642 0.4203 0.6741
Tl 0.2478 0.2478 0.2567
Tl 0.7522 0.7522 0.7433
Cs 0.0000 0.0000 0.0000
Au 0.5000 0.5000 0.5000

***

Record 2
The following is a DFT calculation (GGA-PBE) of a relaxed Cs2TlAuBr6 crystal.

Calculated values
**Total magnetic moment**: 0.0 μB per formula unit
**Formation energy from raw total energies**: -0.9658 eV/atom
**Symmetry**: Cmmm, No. 65
**Electronic total energy**: -2.705 eV/atom

Cell: 8.0129 8.0128 11.5160 Å, 90.00 90.01 89.47°
Fractional positions:
Cs 0.9999 0.0001 0.2589
Cs 0.5000 0.5001 0.2589
Cs 0.5000 0.4999 0.7411
Cs 0.0001 0.9999 0.7411
Br 0.5003 0.9999 0.7430
Br 0.2420 0.2581 0.5001
Br 0.7322 0.7678 0.0001
Br 0.2513 0.7513 0.5001
Br 0.9999 0.5000 0.7303
Br 0.7580 0.7419 0.4999
Br 0.2678 0.2322 0.9999
Br 0.7487 0.2487 0.4999
Br 0.2693 0.7693 0.9999
Br 0.7307 0.2307 0.0001
Br 0.0001 0.5000 0.2697
Br 0.4997 0.0001 0.2570
Tl 0.5000 0.0000 0.5000
Tl 0.0000 0.5000 0.0000
Au 0.5000 0.0000 0.0000
Au 0.0000 0.5000 0.5000

***

Record 3
The following is a DFT calculation (GGA-PBE) of a relaxed Cs3TlAu2Br9 crystal.

Calculated values
**Total magnetic moment**: 0.0 μB per formula unit
**Formation energy from raw total energies**: -0.9154 eV/atom
**Symmetry**: P-3m1, No. 164
**Electronic total energy**: -2.685 eV/atom

Cell: 7.9087 7.9087 9.7403 Å, 90.00 90.00 120.00°
Fractional positions:
Br 0.5000 0.5000 0.0000
Br 0.1736 0.8264 0.3216
Br 0.0000 0.5000 0.0000
Br 0.6528 0.8264 0.3216
Br 0.5000 0.0000 0.0000
Br 0.8264 0.6528 0.6784
Br 0.8264 0.1736 0.6784
Br 0.1736 0.3472 0.3216
Br 0.3472 0.1736 0.6784
Cs 0.0000 0.0000 0.0000
Cs 0.6667 0.3333 0.3319
Cs 0.3333 0.6667 0.6681
Au 0.3333 0.6667 0.1555
Au 0.6667 0.3333 0.8445
Tl 0.0000 0.0000 0.5000

***

Record 4
The following is a DFT calculation (GGA-PBE) of a relaxed Cs4TlAu3Br12 crystal.

Calculated values
**Total magnetic moment**: 0.0 μB per formula unit
**Formation energy from raw total energies**: -0.8928 eV/atom
**Symmetry**: Im-3m, No. 229
**Electronic total energy**: -2.677 eV/atom

Cell: 9.7118 9.7118 9.7118 Å, 109.47 109.47 109.47°
Fractional positions:
Au 0.0000 0.5000 0.5000
Au 0.5000 0.0000 0.5000
Au 0.5000 0.5000 0.0000
Cs 0.0000 0.0000 0.5000
Cs 0.5000 0.5000 0.5000
Cs 0.5000 0.0000 0.0000
Cs 0.0000 0.5000 0.0000
Br 0.5000 0.7500 0.2500
Br 0.7500 0.2500 0.5000
Br 0.2701 0.0000 0.2701
Br 0.0000 0.7299 0.7299
Br 0.7299 0.7299 0.0000
Br 0.2500 0.5000 0.7500
Br 0.0000 0.2701 0.2701
Br 0.7299 0.0000 0.7299
Br 0.5000 0.2500 0.7500
Br 0.2701 0.2701 0.0000
Br 0.2500 0.7500 0.5000
Br 0.7500 0.5000 0.2500
Tl 0.0000 0.0000 0.0000

***

Record 5
The following is a DFT calculation (GGA-PBE) of a relaxed Cs2TmAuBr6 crystal.

Calculated values
**Total magnetic moment**: 0.0 μB per formula unit
**Formation energy from raw total energies**: -1.4851 eV/atom
**Symmetry**: P-1, No. 2
**Electronic total energy**: -3.434 eV/atom

Cell: 7.9261 7.9949 8.8962 Å, 56.70 56.75 76.84°
Fractional positions:
Br 0.1523 0.2738 0.9978
Br 0.7838 0.7848 0.4342
Br 0.6454 0.1932 0.0006
Br 0.3546 0.8068 0.9994
Br 0.2162 0.2152 0.5658
Br 0.8477 0.7262 0.0022
Cs 0.2503 0.7507 0.4990
Cs 0.7497 0.2493 0.5010
Tm 0.0000 0.0000 0.0000
Au 0.5000 0.5000 0.0000

***

Record 6
The following is a DFT calculation (GGA-PBE) of a relaxed Cs2VAuBr6 crystal.

Calculated values
**Total magnetic moment**: 2.0 μB per formula unit
**Formation energy from raw total energies**: -1.0360 eV/atom
**Symmetry**: I4/mmm, No. 139
**Electronic total energy**: -3.450 eV/atom

Cell: 8.2003 8.2003 7.7998 Å, 58.29 58.29 90.00°
Fractional positions:
Br 0.2391 0.2391 0.5218
Br 0.7609 0.7609 0.4782
Br 0.7176 0.7176 0.0000
Br 0.2824 0.7176 0.0000
Br 0.7176 0.2824 0.0000
Br 0.2824 0.2824 0.0000
Cs 0.7500 0.2500 0.5000
Cs 0.2500 0.7500 0.5000
Au 0.0000 0.0000 0.0000
V 0.5000 0.5000 0.0000

***

Record 7
The following is a DFT calculation (GGA-PBE) of a relaxed Cs2ZnAuBr crystal.

Calculated values
**Total magnetic moment**: 0.0 μB per formula unit
**Formation energy from raw total energies**: -0.6884 eV/atom
**Symmetry**: P4/mmm, No. 123
**Electronic total energy**: -2.275 eV/atom

Cell: 6.7719 6.7719 5.0424 Å, 90.00 90.00 90.00°
Fractional positions:
Zn 0.0000 0.0000 0.5000
Cs 0.5000 0.0000 0.0000
Cs 0.0000 0.5000 0.0000
Au 0.0000 0.0000 0.0000
Br 0.5000 0.5000 0.5000

***

Record 8
The following is a DFT calculation (GGA-PBE) of a relaxed Cs2ZrAuBr6 crystal.

Calculated values
**Total magnetic moment**: 0.0 μB per formula unit
**Formation energy from raw total energies**: -1.2283 eV/atom
**Symmetry**: I4/mmm, No. 139
**Electronic total energy**: -3.585 eV/atom

Cell: 8.1949 8.1949 8.1387 Å, 59.77 59.77 90.00°
Fractional positions:
Au 0.0000 0.0000 0.0000
Cs 0.7500 0.2500 0.5000
Cs 0.2500 0.7500 0.5000
Br 0.2699 0.7301 0.0000
Br 0.7337 0.7337 0.5327
Br 0.7301 0.7301 0.0000
Br 0.2663 0.2663 0.4673
Br 0.2699 0.2699 0.0000
Br 0.7301 0.2699 0.0000
Zr 0.5000 0.5000 0.0000

***

Which formula does entry 2 have? Cs2TlAuBr6

***

electronic total energy of number 6 (Cs2VAuBr6)? -3.450 eV/atom

***

Please write out number 5 again, unchanged.
The following is a DFT calculation (GGA-PBE) of a relaxed Cs2TmAuBr6 crystal.

Calculated values
**Total magnetic moment**: 0.0 μB per formula unit
**Formation energy from raw total energies**: -1.4851 eV/atom
**Symmetry**: P-1, No. 2
**Electronic total energy**: -3.434 eV/atom

Cell: 7.9261 7.9949 8.8962 Å, 56.70 56.75 76.84°
Fractional positions:
Br 0.1523 0.2738 0.9978
Br 0.7838 0.7848 0.4342
Br 0.6454 0.1932 0.0006
Br 0.3546 0.8068 0.9994
Br 0.2162 0.2152 0.5658
Br 0.8477 0.7262 0.0022
Cs 0.2503 0.7507 0.4990
Cs 0.7497 0.2493 0.5010
Tm 0.0000 0.0000 0.0000
Au 0.5000 0.5000 0.0000